Sr2MnBiO5 PBE with a Hubbard U relaxed; total magnetic moment = 1.997 μB per formula unit; final energy = -6.170 eV/atom
1.0
1.691 -7.847 0.000
1.691 7.847 0.000
0.000 0.000 9.866
Sr Mn Bi O
4 2 2 10
Direct
0.142 0.858 0.500
0.143 0.857 0.064
0.857 0.143 0.564
0.858 0.142 0.000
0.225 0.775 0.782
0.775 0.225 0.282
0.490 0.510 0.274
0.510 0.490 0.774
0.098 0.902 0.781
0.286 0.714 0.152
0.286 0.714 0.411
0.349 0.651 0.783
0.500 0.500 0.058
0.500 0.500 0.558
0.651 0.349 0.283
0.714 0.286 0.652
0.714 0.286 0.911
0.902 0.098 0.281